# 1
DFT (PBE-GGA) results for a geometry-optimized CaPb2Br2O2 structure. Values from VASP.

Cell and atoms, written as Quantum ESPRESSO input:
```
&SYSTEM
  ibrav = 0, nat = 7, ntyp = 4
/
ATOMIC_SPECIES
Pb 207.20 Pb.upf
Br 79.90 Br.upf
Ca 40.08 Ca.upf
O 16.00 O.upf
CELL_PARAMETERS angstrom
4.444 0.000 0.000
0.000 4.444 0.000
-2.222 -2.222 8.251
ATOMIC_POSITIONS crystal
Pb 0.400 0.400 0.801
Br 0.179 0.179 0.357
Ca 0.000 0.000 0.000
O 0.000 0.500 0.000
O 0.500 0.000 0.000
Br 0.821 0.821 0.643
Pb 0.600 0.600 0.199
```

Magnetization: 0.00 μB/atom
Calculated density: 6.585 g cm⁻³
Formation energy (no corrections): -10.1 eV/f.u.
SG: I4/mmm, No. 139
Final energy: -4.68 eV/atom

---

# 2
DFT (PBE-GGA) results for a geometry-optimized Ca3PuBr2O6 structure. Values from VASP.

Cell and atoms, written as Quantum ESPRESSO input:
```
&SYSTEM
  ibrav = 0, nat = 12, ntyp = 4
/
ATOMIC_SPECIES
O 16.00 O.upf
Pu 244.00 Pu.upf
Br 79.90 Br.upf
Ca 40.08 Ca.upf
CELL_PARAMETERS angstrom
-1.345 -2.817 4.774
6.005 -3.072 -0.121
-0.839 5.607 4.078
ATOMIC_POSITIONS crystal
O 0.691 0.273 0.109
Pu 0.500 0.000 0.000
Br 0.874 0.290 0.581
Br 0.126 0.710 0.419
O 0.348 0.157 0.314
O 0.309 0.727 0.891
O 0.309 0.164 0.891
Ca 0.500 0.000 0.500
Ca 0.000 0.500 0.000
O 0.691 0.836 0.109
O 0.652 0.843 0.686
Ca 0.500 0.500 0.500
```

Magnetization: 0.00 μB/atom
Calculated density: 4.418 g cm⁻³
Formation energy (no corrections): -27.1 eV/f.u.
SG: C2/m, No. 12
Final energy: -6.71 eV/atom

---

# 3
DFT (PBE-GGA) results for a geometry-optimized CaReBrO4 structure. Values from VASP.

Cell and atoms, written as Quantum ESPRESSO input:
```
&SYSTEM
  ibrav = 0, nat = 14, ntyp = 4
/
ATOMIC_SPECIES
Re 186.21 Re.upf
O 16.00 O.upf
Br 79.90 Br.upf
Ca 40.08 Ca.upf
CELL_PARAMETERS angstrom
6.531 0.047 0.680
2.208 6.146 0.680
2.457 1.742 8.594
ATOMIC_POSITIONS crystal
Re 0.390 0.390 0.301
O 0.308 0.308 0.516
O 0.150 0.531 0.229
O 0.850 0.469 0.771
O 0.531 0.150 0.229
O 0.430 0.430 0.771
Br 0.085 0.085 0.155
Br 0.915 0.915 0.845
O 0.570 0.570 0.229
O 0.692 0.692 0.484
Re 0.610 0.610 0.699
Ca 0.805 0.805 0.192
Ca 0.195 0.195 0.808
O 0.469 0.850 0.771
```

Magnetization: 0.00 μB/atom
Calculated density: 3.740 g cm⁻³
Formation energy (no corrections): -14.1 eV/f.u.
SG: C2/m, No. 12
Final energy: -7.15 eV/atom

---

# 4
DFT (PBE-GGA) results for a geometry-optimized CaReBr2O structure. Values from VASP.

Cell and atoms, written as Quantum ESPRESSO input:
```
&SYSTEM
  ibrav = 0, nat = 5, ntyp = 4
/
ATOMIC_SPECIES
O 16.00 O.upf
Br 79.90 Br.upf
Ca 40.08 Ca.upf
Re 186.21 Re.upf
CELL_PARAMETERS angstrom
-2.054 -4.934 1.891
3.763 -0.999 1.482
-1.302 2.439 4.949
ATOMIC_POSITIONS crystal
O 0.000 0.500 0.000
Br 0.500 0.000 0.000
Br 0.000 0.000 0.500
Ca 0.000 0.000 0.000
Re 0.500 0.500 0.500
```

Magnetization: 1.08 μB/atom
Calculated density: 4.987 g cm⁻³
Formation energy (no corrections): 1.2 eV/f.u.
SG: P4/mmm, No. 123
Final energy: -4.31 eV/atom

---

# 5
DFT (PBE-GGA) results for a geometry-optimized CaRuBr2O structure. Values from VASP.

Cell and atoms, written as Quantum ESPRESSO input:
```
&SYSTEM
  ibrav = 0, nat = 5, ntyp = 4
/
ATOMIC_SPECIES
O 16.00 O.upf
Ca 40.08 Ca.upf
Br 79.90 Br.upf
Ru 101.07 Ru.upf
CELL_PARAMETERS angstrom
5.422 0.000 0.000
0.000 3.727 0.000
0.000 0.000 5.422
ATOMIC_POSITIONS crystal
O 0.000 0.500 0.000
Ca 0.500 0.500 0.500
Br 0.000 0.000 0.500
Ru 0.000 0.000 0.000
Br 0.500 0.000 0.000
```

Magnetization: 0.00 μB/atom
Calculated density: 4.804 g cm⁻³
Formation energy (no corrections): -4.3 eV/f.u.
SG: P4/mmm, No. 123
Final energy: -4.78 eV/atom

---

# 6
DFT (PBE-GGA) results for a geometry-optimized CaRuBrO4 structure. Values from VASP.

Cell and atoms, written as Quantum ESPRESSO input:
```
&SYSTEM
  ibrav = 0, nat = 14, ntyp = 4
/
ATOMIC_SPECIES
Ca 40.08 Ca.upf
O 16.00 O.upf
Br 79.90 Br.upf
Ru 101.07 Ru.upf
CELL_PARAMETERS angstrom
6.622 0.155 -0.256
2.340 6.197 -0.256
1.549 1.098 6.550
ATOMIC_POSITIONS crystal
Ca 0.772 0.772 0.114
O 0.872 0.510 0.856
O 0.490 0.128 0.144
Ca 0.228 0.228 0.886
O 0.510 0.872 0.856
Br 0.989 0.989 0.752
O 0.529 0.529 0.217
Ru 0.366 0.366 0.271
Ru 0.634 0.634 0.729
O 0.128 0.490 0.144
O 0.471 0.471 0.783
Br 0.011 0.011 0.248
O 0.709 0.709 0.474
O 0.291 0.291 0.526
```

Magnetization: 0.18 μB/atom
Calculated density: 3.506 g cm⁻³
Formation energy (no corrections): -9.2 eV/f.u.
SG: C2/m, No. 12
Final energy: -6.00 eV/atom

---

# 7
DFT (PBE-GGA) results for a geometry-optimized CaSBrO4 structure. Values from VASP.

Cell and atoms, written as Quantum ESPRESSO input:
```
&SYSTEM
  ibrav = 0, nat = 14, ntyp = 4
/
ATOMIC_SPECIES
O 16.00 O.upf
Ca 40.08 Ca.upf
Br 79.90 Br.upf
S 32.06 S.upf
CELL_PARAMETERS angstrom
-3.313 -1.459 -5.397
2.168 -4.420 -4.241
-3.332 -5.291 2.248
ATOMIC_POSITIONS crystal
O 0.492 0.492 0.237
Ca 0.302 0.302 0.812
O 0.699 0.699 0.533
Ca 0.698 0.698 0.188
Br 0.025 0.025 0.325
S 0.361 0.361 0.252
O 0.866 0.490 0.860
O 0.134 0.510 0.140
O 0.490 0.866 0.860
Br 0.975 0.975 0.675
O 0.510 0.134 0.140
O 0.508 0.508 0.763
S 0.639 0.639 0.748
O 0.301 0.301 0.467
```

Magnetization: 0.00 μB/atom
Calculated density: 3.051 g cm⁻³
Formation energy (no corrections): -12.5 eV/f.u.
SG: C2/m, No. 12
Final energy: -5.74 eV/atom

---

# 8
DFT (PBE-GGA) results for a geometry-optimized CaSe2BrO structure. Values from VASP.

Cell and atoms, written as Quantum ESPRESSO input:
```
&SYSTEM
  ibrav = 0, nat = 5, ntyp = 4
/
ATOMIC_SPECIES
Se 78.96 Se.upf
Ca 40.08 Ca.upf
O 16.00 O.upf
Br 79.90 Br.upf
CELL_PARAMETERS angstrom
-2.285 4.890 2.233
-0.418 -2.581 5.223
5.076 1.784 1.288
ATOMIC_POSITIONS crystal
Se 0.500 0.000 0.000
Ca 0.000 0.000 0.000
O 0.500 0.500 0.500
Br 0.000 0.000 0.500
Se 0.000 0.500 0.000
```

Magnetization: 0.62 μB/atom
Calculated density: 2.585 g cm⁻³
Formation energy (no corrections): 2.0 eV/f.u.
SG: P4/mmm, No. 123
E above lowest polymorph: 5.26 eV/f.u.
Final energy: -2.72 eV/atom

---

Please write out number 8 again, unchanged.
DFT (PBE-GGA) results for a geometry-optimized CaSe2BrO structure. Values from VASP.

Cell and atoms, written as Quantum ESPRESSO input:
```
&SYSTEM
  ibrav = 0, nat = 5, ntyp = 4
/
ATOMIC_SPECIES
Se 78.96 Se.upf
Ca 40.08 Ca.upf
O 16.00 O.upf
Br 79.90 Br.upf
CELL_PARAMETERS angstrom
-2.285 4.890 2.233
-0.418 -2.581 5.223
5.076 1.784 1.288
ATOMIC_POSITIONS crystal
Se 0.500 0.000 0.000
Ca 0.000 0.000 0.000
O 0.500 0.500 0.500
Br 0.000 0.000 0.500
Se 0.000 0.500 0.000
```

Magnetization: 0.62 μB/atom
Calculated density: 2.585 g cm⁻³
Formation energy (no corrections): 2.0 eV/f.u.
SG: P4/mmm, No. 123
E above lowest polymorph: 5.26 eV/f.u.
Final energy: -2.72 eV/atom